a.
BaCr3As: relaxed, PBE.

Computed properties:
**V**: 136 Å³ per cell

abc: 5.138 5.138 5.138
angles: 90.00 90.00 90.00
Fractional coordinates of all 5 atoms:
Cr (0.000, 0.500, 0.000)
Cr (0.000, 0.000, 0.500)
Cr (0.500, 0.000, 0.000)
As (0.500, 0.500, 0.500)
Ba (0.000, 0.000, 0.000)

b.
BaCr3As: relaxed, PBE.

Computed properties:
**V**: 130 Å³ per cell

abc: 5.068 5.068 5.068
angles: 90.00 90.00 90.00
Fractional coordinates of all 5 atoms:
Cr (0.000, 0.500, 0.000)
Cr (0.000, 0.000, 0.500)
Cr (0.500, 0.000, 0.000)
As (0.000, 0.000, 0.000)
Ba (0.500, 0.500, 0.500)

Stability verdict: b, ahead by 1716 meV/atom

a.
BaCrAsSe2: relaxed, PBE.

Computed properties:
**V**: 214 Å³ per cell

abc: 6.076 6.076 5.798
angles: 90.00 90.00 90.00
Fractional coordinates of all 5 atoms:
Cr (0.500, 0.500, 0.500)
As (0.000, 0.000, 0.500)
Ba (0.000, 0.000, 0.000)
Se (0.000, 0.500, 0.000)
Se (0.500, 0.000, 0.000)

b.
BaCrAsSe2: relaxed, PBE.

Computed properties:
**V**: 121 Å³ per cell

abc: 5.111 5.111 4.634
angles: 90.00 90.00 90.00
Fractional coordinates of all 5 atoms:
Cr (0.000, 0.000, 0.000)
As (0.000, 0.000, 0.500)
Ba (0.500, 0.500, 0.500)
Se (0.000, 0.500, 0.000)
Se (0.500, 0.000, 0.000)

Stability verdict: b, ahead by 1470 meV/atom

a.
CsBa3As: relaxed, PBE.

Computed properties:
**V**: 296 Å³ per cell

abc: 6.665 6.665 6.665
angles: 90.00 90.00 90.00
Fractional coordinates of all 5 atoms:
Cs (0.500, 0.500, 0.500)
As (0.000, 0.000, 0.000)
Ba (0.000, 0.500, 0.000)
Ba (0.000, 0.000, 0.500)
Ba (0.500, 0.000, 0.000)

b.
CsBa3As: relaxed, PBE.

Computed properties:
**V**: 246 Å³ per cell

abc: 6.266 6.266 6.266
angles: 90.00 90.00 90.00
Fractional coordinates of all 5 atoms:
Cs (0.000, 0.000, 0.000)
As (0.500, 0.500, 0.500)
Ba (0.000, 0.500, 0.000)
Ba (0.000, 0.000, 0.500)
Ba (0.500, 0.000, 0.000)

Stability verdict: a, ahead by 1166 meV/atom

a.
Cs2BaAs2: relaxed, PBE.

Computed properties:
**V**: 193 Å³ per cell

abc: 4.990 4.990 8.514
angles: 72.96 72.96 90.00
Fractional coordinates of all 5 atoms:
Cs (0.750, 0.250, 0.500)
Cs (0.250, 0.750, 0.500)
As (0.420, 0.420, 0.160)
As (0.580, 0.580, 0.840)
Ba (0.000, 0.000, 0.000)

b.
Cs2BaAs2: relaxed, PBE.

Computed properties:
**V**: 415 Å³ per cell

abc: 8.296 8.296 6.025
angles: 90.00 90.00 90.00
Fractional coordinates of all 10 atoms:
Cs (0.665, 0.165, 0.500)
Cs (0.835, 0.665, 0.500)
Cs (0.335, 0.835, 0.500)
Cs (0.165, 0.335, 0.500)
Ba (0.000, 0.000, 0.000)
Ba (0.500, 0.500, 0.000)
As (0.894, 0.394, 0.000)
As (0.606, 0.894, 0.000)
As (0.106, 0.606, 0.000)
As (0.394, 0.106, 0.000)

Stability verdict: b, ahead by 61 meV/atom

a.
CsBaAsSe2: relaxed, PBE.

Computed properties:
**V**: 203 Å³ per cell

abc: 5.959 5.959 5.719
angles: 90.00 90.00 90.00
Fractional coordinates of all 5 atoms:
Cs (0.000, 0.000, 0.000)
As (0.000, 0.000, 0.500)
Ba (0.500, 0.500, 0.500)
Se (0.000, 0.500, 0.000)
Se (0.500, 0.000, 0.000)

b.
CsBaAsSe2: relaxed, PBE.

Computed properties:
**V**: 251 Å³ per cell

abc: 6.252 6.252 6.416
angles: 90.00 90.00 90.00
Fractional coordinates of all 5 atoms:
Cs (0.500, 0.500, 0.500)
As (0.000, 0.000, 0.500)
Ba (0.000, 0.000, 0.000)
Se (0.000, 0.500, 0.000)
Se (0.500, 0.000, 0.000)

Stability verdict: b, ahead by 432 meV/atom

a.
BaCu6As4: relaxed, PBE.

Computed properties:
**V**: 202 Å³ per cell

abc: 4.113 4.113 12.269
angles: 99.65 99.65 90.00
Fractional coordinates of all 11 atoms:
Ba (0.000, 0.000, 0.000)
Cu (0.750, 0.250, 0.500)
Cu (0.869, 0.369, 0.738)
Cu (0.131, 0.631, 0.262)
Cu (0.631, 0.131, 0.262)
Cu (0.369, 0.869, 0.738)
Cu (0.250, 0.750, 0.500)
As (0.424, 0.424, 0.848)
As (0.191, 0.191, 0.383)
As (0.809, 0.809, 0.617)
As (0.576, 0.576, 0.152)

b.
BaCu6As4: relaxed, PBE.

Computed properties:
**V**: 200 Å³ per cell

abc: 6.472 6.472 6.472
angles: 95.84 116.68 116.68
Fractional coordinates of all 11 atoms:
Ba (0.000, 0.000, 0.000)
Cu (0.000, 0.759, 0.457)
Cu (0.000, 0.457, 0.759)
Cu (0.698, 0.241, 0.241)
Cu (0.500, 0.000, 0.500)
Cu (0.302, 0.543, 0.543)
Cu (0.500, 0.500, 0.000)
As (0.000, 0.129, 0.536)
As (0.593, 0.464, 0.464)
As (0.000, 0.536, 0.129)
As (0.407, 0.871, 0.871)

Stability verdict: a, ahead by 130 meV/atom

a.
Ba2Cu2As: relaxed, PBE.

Computed properties:
**V**: 140 Å³ per cell

abc: 3.894 3.894 9.629
angles: 78.33 78.33 90.00
Fractional coordinates of all 5 atoms:
As (0.000, 0.000, 0.000)
Ba (0.401, 0.401, 0.199)
Ba (0.599, 0.599, 0.801)
Cu (0.750, 0.250, 0.500)
Cu (0.250, 0.750, 0.500)

b.
Ba2Cu2As: relaxed, PBE.

Computed properties:
**V**: 271 Å³ per cell

abc: 7.678 7.678 4.597
angles: 90.00 90.00 90.00
Fractional coordinates of all 10 atoms:
As (0.000, 0.000, 0.000)
As (0.500, 0.500, 0.000)
Ba (0.193, 0.693, 0.500)
Ba (0.693, 0.807, 0.500)
Ba (0.807, 0.307, 0.500)
Ba (0.307, 0.193, 0.500)
Cu (0.390, 0.890, 0.000)
Cu (0.890, 0.610, 0.000)
Cu (0.610, 0.110, 0.000)
Cu (0.110, 0.390, 0.000)

Stability verdict: a, ahead by 20 meV/atom

a.
BaDyAs2: relaxed, PBE.

Computed properties:
**V**: 122 Å³ per cell

abc: 4.371 4.371 7.808
angles: 73.74 73.74 60.00
Fractional coordinates of all 4 atoms:
As (0.265, 0.265, 0.206)
As (0.735, 0.735, 0.794)
Ba (0.500, 0.500, 0.500)
Dy (0.000, 0.000, 0.000)

b.
BaDyAs2: relaxed, PBE.

Computed properties:
**V**: 122 Å³ per cell

abc: 4.260 4.260 8.170
angles: 74.89 74.89 60.00
Fractional coordinates of all 4 atoms:
Ba (0.497, 0.497, 0.509)
Dy (0.669, 0.669, 0.993)
As (0.070, 0.070, 0.790)
As (0.264, 0.264, 0.208)

Stability verdict: a, ahead by 50 meV/atom

a.
BaEuAs: relaxed, PBE.

Computed properties:
**V**: 110 Å³ per cell

abc: 5.383 5.383 5.383
angles: 60.00 60.00 60.00
Fractional coordinates of all 3 atoms:
Eu (0.500, 0.500, 0.500)
As (0.250, 0.250, 0.250)
Ba (0.000, 0.000, 0.000)

b.
BaEuAs: relaxed, PBE.

Computed properties:
**V**: 111 Å³ per cell

abc: 4.968 5.079 5.079
angles: 120.00 90.00 90.00
Fractional coordinates of all 3 atoms:
Eu (0.168, 0.333, 0.667)
As (0.165, 0.000, 0.000)
Ba (0.667, 0.667, 0.333)

c.
BaEuAs: relaxed, PBE.

Computed properties:
**V**: 113 Å³ per cell

abc: 3.992 3.992 7.611
angles: 105.20 105.20 90.00
Fractional coordinates of all 3 atoms:
Eu (0.278, 0.278, 0.557)
As (0.679, 0.679, 0.358)
Ba (0.043, 0.043, 0.085)

Stability verdict: a, ahead by 53 meV/atom

a.
BaAsF2: relaxed, PBE.

Computed properties:
**V**: 183 Å³ per cell

abc: 6.190 6.190 6.190
angles: 109.05 109.05 110.32
Fractional coordinates of all 8 atoms:
Ba (0.750, 0.250, 0.500)
Ba (0.000, 0.000, 0.000)
As (0.250, 0.750, 0.500)
As (0.500, 0.500, 0.000)
F (0.100, 0.625, 0.975)
F (0.650, 0.125, 0.025)
F (0.375, 0.350, 0.475)
F (0.875, 0.900, 0.525)

b.
BaAsF2: relaxed, PBE.

Computed properties:
**V**: 97 Å³ per cell

abc: 5.934 5.934 5.934
angles: 45.60 45.60 45.60
Fractional coordinates of all 4 atoms:
As (0.000, 0.000, 0.000)
Ba (0.500, 0.500, 0.500)
F (0.865, 0.865, 0.865)
F (0.135, 0.135, 0.135)

c.
BaAsF2: relaxed, PBE.

Computed properties:
**V**: 83 Å³ per cell

abc: 4.887 4.887 4.887
angles: 60.00 60.00 60.00
Fractional coordinates of all 4 atoms:
As (0.000, 0.000, 0.000)
Ba (0.500, 0.500, 0.500)
F (0.250, 0.250, 0.250)
F (0.750, 0.750, 0.750)

Stability verdict: b, ahead by 333 meV/atom

a.
BaAs2F: relaxed, PBE.

Computed properties:
**V**: 99 Å³ per cell

abc: 5.190 5.190 5.190
angles: 60.00 60.00 60.00
Fractional coordinates of all 4 atoms:
As (0.250, 0.250, 0.250)
As (0.750, 0.750, 0.750)
Ba (0.500, 0.500, 0.500)
F (0.000, 0.000, 0.000)

b.
BaAs2F: relaxed, PBE.

Computed properties:
**V**: 193 Å³ per cell

abc: 3.864 3.864 13.208
angles: 81.59 81.59 90.00
Fractional coordinates of all 8 atoms:
As (0.582, 0.125, 0.250)
As (0.168, 0.625, 0.250)
As (0.375, 0.418, 0.750)
As (0.875, 0.832, 0.750)
Ba (0.000, 0.000, 0.000)
Ba (0.750, 0.250, 0.500)
F (0.500, 0.500, 0.000)
F (0.250, 0.750, 0.500)

Stability verdict: b, ahead by 1214 meV/atom

a.
BaAs2F2: relaxed, PBE.

Computed properties:
**V**: 251 Å³ per cell

abc: 7.783 7.783 4.150
angles: 90.00 90.00 90.00
Fractional coordinates of all 10 atoms:
As (0.403, 0.903, 0.000)
As (0.903, 0.597, 0.000)
As (0.597, 0.097, 0.000)
As (0.097, 0.403, 0.000)
Ba (0.000, 0.000, 0.000)
Ba (0.500, 0.500, 0.000)
F (0.247, 0.747, 0.500)
F (0.747, 0.753, 0.500)
F (0.753, 0.253, 0.500)
F (0.253, 0.247, 0.500)

b.
BaAs2F2: relaxed, PBE.

Computed properties:
**V**: 112 Å³ per cell

abc: 5.042 5.042 5.666
angles: 63.58 63.58 90.00
Fractional coordinates of all 5 atoms:
As (0.378, 0.378, 0.244)
As (0.622, 0.622, 0.756)
Ba (0.000, 0.000, 0.000)
F (0.750, 0.250, 0.500)
F (0.250, 0.750, 0.500)

Stability verdict: b, ahead by 345 meV/atom

a.
BaAsN2F: relaxed, PBE.

Computed properties:
**V**: 73 Å³ per cell

abc: 3.918 3.918 4.745
angles: 90.00 90.00 90.00
Fractional coordinates of all 5 atoms:
As (0.000, 0.000, 0.000)
N (0.000, 0.500, 0.000)
N (0.500, 0.000, 0.000)
Ba (0.500, 0.500, 0.500)
F (0.000, 0.000, 0.500)

b.
BaAsN2F: relaxed, PBE.

Computed properties:
**V**: 148 Å³ per cell

abc: 5.493 5.493 4.895
angles: 90.00 90.00 90.00
Fractional coordinates of all 5 atoms:
As (0.500, 0.500, 0.500)
N (0.000, 0.500, 0.000)
N (0.500, 0.000, 0.000)
Ba (0.000, 0.000, 0.000)
F (0.000, 0.000, 0.500)

Stability verdict: a, ahead by 1471 meV/atom